Entry from Alexandria via LeMat-Bulk: crystalline TiTcP2 at its relaxed geometry (GGA-PBE).

The calculation puts the theoretical density at 5.744 g cm⁻³. The calculation puts the formation energy at -0.703 eV/atom. For the relative energy among the computed polymorphs, the calculation gives 0 meV per atom. For the total energy, the calculation gives -95.7 eV/cell.

abc: 3.5799 3.5799 16.2384
angles: 90.00 90.00 120.00
Space group R3m (No. 160, hexagonal axes)
Asymmetric unit:
Ti: 0.0000 0.0000 0.0000 (multiplicity 3)
Tc: 0.0000 0.0000 0.8204 (multiplicity 3)
P: 0.0000 0.0000 0.4198 (multiplicity 3)
P: 0.0000 0.0000 0.5744 (multiplicity 3)

Entry from Alexandria via LeMat-Bulk: crystalline KCu at its relaxed geometry (GGA-PBE).

The calculation puts the theoretical density at 2.207 g cm⁻³. The calculation puts the formation energy at 0.355 eV/atom. For the relative energy among the computed polymorphs, the calculation gives 112 meV per atom. For the total energy, the calculation gives -9.0 eV/cell.

abc: 4.407 4.468 7.845
angles: 90.00 90.00 90.00
Space group Pmma (No. 51)
Asymmetric unit:
K: 0.250 0.000 0.248 (multiplicity 2)
Cu: 0.250 0.500 0.945 (multiplicity 2)

Entry from Alexandria via LeMat-Bulk: crystalline Tm6ThIn at its relaxed geometry (GGA-PBE).

The calculation puts the theoretical density at 9.686 g cm⁻³. The calculation puts the formation energy at -0.087 eV/atom. For the total energy, the calculation gives -37.7 eV/cell.

abc: 4.883 4.883 9.782
angles: 90.00 90.00 90.00
Space group P4/mmm (No. 123)
Asymmetric unit:
Tm: 0.000 0.000 0.000 (multiplicity 1)
Tm: 0.000 0.000 0.500 (multiplicity 1)
Tm: 0.000 0.500 0.245 (multiplicity 4)
Th: 0.500 0.500 0.500 (multiplicity 1)
In: 0.500 0.500 0.000 (multiplicity 1)

Entry from Alexandria via LeMat-Bulk: crystalline LiUGaOs at its relaxed geometry (GGA-PBE).

The calculation puts the theoretical density at 12.265 g cm⁻³. The calculation puts the formation energy at 0.009 eV/atom. For the total energy, the calculation gives -109.7 eV/cell.

abc: 6.491 6.491 6.491
angles: 90.00 90.00 90.00
Space group F-43m (No. 216)
Asymmetric unit:
Li: 0.000 0.000 0.000 (multiplicity 4)
U: 0.250 0.250 0.750 (multiplicity 4)
Ga: 0.250 0.250 0.250 (multiplicity 4)
Os: 0.000 0.000 0.500 (multiplicity 4)

Entry from Alexandria via LeMat-Bulk: crystalline YH2F6 at its relaxed geometry (GGA-PBE).

The calculation puts the theoretical density at 3.440 g cm⁻³. For the total energy, the calculation gives -186.6 eV/cell.

abc: 8.687 8.448 5.513
angles: 90.00 102.11 90.00
Space group C2/c (No. 15)
Asymmetric unit:
Y: 0.000 0.170 0.250 (multiplicity 4)
H: 0.228 0.405 0.061 (multiplicity 8)
F: 0.116 0.373 0.077 (multiplicity 8)
F: 0.130 0.049 0.969 (multiplicity 8)
F: 0.168 0.284 0.585 (multiplicity 8)

Entry from Alexandria via LeMat-Bulk: crystalline Ho2Ga4CuNi3 at its relaxed geometry (GGA-PBE).

The calculation puts the theoretical density at 8.556 g cm⁻³. The calculation puts the formation energy at -0.538 eV/atom. For the total energy, the calculation gives -48.1 eV/cell.

abc: 3.974 3.974 10.425
angles: 90.00 90.00 90.00
Space group P-4m2 (No. 115)
Asymmetric unit:
Ho: 0.000 0.500 0.242 (multiplicity 2)
Ga: 0.000 0.000 0.000 (multiplicity 1)
Ga: 0.000 0.500 0.636 (multiplicity 2)
Ga: 0.500 0.500 0.000 (multiplicity 1)
Cu: 0.000 0.000 0.500 (multiplicity 1)
Ni: 0.000 0.500 0.863 (multiplicity 2)
Ni: 0.500 0.500 0.500 (multiplicity 1)

Entry from Alexandria via LeMat-Bulk: crystalline SnHgSb2Au4 at its relaxed geometry (GGA-PBE).

The calculation puts the theoretical density at 11.940 g cm⁻³. For the total energy, the calculation gives -103.7 eV/cell. The raw formation energy comes out at -0.034 eV per atom.

abc: 8.957 11.505 7.291
angles: 90.00 90.00 90.00
Space group Fmm2 (No. 42)
Asymmetric unit:
Sn: 0.000 0.000 0.000 (multiplicity 4)
Hg: 0.000 0.000 0.500 (multiplicity 4)
Sb: 0.250 0.250 0.251 (multiplicity 8)
Au: 0.000 0.248 0.001 (multiplicity 8)
Au: 0.250 0.000 0.250 (multiplicity 8)

Entry from Alexandria via LeMat-Bulk: crystalline UZnNi6 at its relaxed geometry (GGA-PBE).

The calculation puts the theoretical density at 10.779 g cm⁻³. The calculation puts the formation energy at -0.227 eV/atom. For the relative energy among the computed polymorphs, the calculation gives 0 meV per atom. For the total energy, the calculation gives -49.1 eV/cell.

abc: 3.754 3.754 7.166
angles: 90.00 90.00 90.00
Space group P4/mmm (No. 123)
Asymmetric unit:
U: 0.000 0.000 0.000 (multiplicity 1)
Zn: 0.000 0.000 0.500 (multiplicity 1)
Ni: 0.000 0.500 0.255 (multiplicity 4)
Ni: 0.500 0.500 0.000 (multiplicity 1)
Ni: 0.500 0.500 0.500 (multiplicity 1)